#w
KAgBi2 after structural relaxation. Source: Alexandria via LeMat-Bulk, functional PBE.

Summary:
Total magnetic moment in μB per formula unit: 0.000
Space group: No. 122

a b c (Å): 5.0948 5.0948 11.3756
angles (deg): 77.06 77.06 90.00
Positions (direct):
K1 0.5000 0.5000 0.0000
K2 0.2500 0.7500 0.5000
Bi1 0.8750 0.9483 0.7500
Bi2 0.3750 0.3017 0.7500
Bi3 0.0517 0.6250 0.2500
Bi4 0.6983 0.1250 0.2500
Ag1 0.0000 0.0000 0.0000
Ag2 0.7500 0.2500 0.5000

#x
KAgBi2 after structural relaxation. Source: Alexandria via LeMat-Bulk, functional PBE.

Summary:
Total magnetic moment in μB per formula unit: 0.000
Space group: No. 166

a b c (Å): 5.2597 5.2597 6.9559
angles (deg): 67.79 67.79 60.00
Positions (direct):
K1 0.5000 0.5000 0.5000
Bi1 0.6988 0.6988 0.9037
Bi2 0.3012 0.3012 0.0963
Ag1 0.0000 0.0000 0.0000

Energy ordering: #x at the bottom, the next structure 0.088 eV/atom above.